[1]
A relaxed structure of Ac2Ga6CoCu. Source: Alexandria, functional GGA-PBE.

Lattice parameters (Å, degrees): 6.7121 6.7544 9.5311 90.00 90.00 90.00
Space group Immm (No. 71)
Inequivalent atoms, fractional coordinates:
Ac: 0.0000 0.0000 0.2500 [4 per cell]
Ga: 0.0000 0.5000 0.2477 [4 per cell]
Ga: 0.2482 0.2527 0.0000 [8 per cell]
Co: 0.0000 0.5000 0.0000 [2 per cell]
Cu: 0.0000 0.5000 0.5000 [2 per cell]

Computed properties:
Volume: 21.605 Å³ per atom
Formation enthalpy at 0 K: -0.283 eV/atom
Raw total energy: -40.41 eV/f.u.



[2]
A relaxed structure of AcGa3CoCu. Source: Alexandria, functional GGA-PBE.

Lattice parameters (Å, degrees): 6.4950 11.2430 6.6744 90.00 90.00 90.00
Space group Cmcm (No. 63)
Inequivalent atoms, fractional coordinates:
Ac: 0.0000 0.2456 0.2500 [4 per cell]
Ga: 0.0000 0.2413 0.7500 [4 per cell]
Ga: 0.2441 0.0000 0.0000 [8 per cell]
Co: 0.0000 0.0438 0.7500 [4 per cell]
Cu: 0.0000 0.4474 0.7500 [4 per cell]

Computed properties:
Volume: 20.308 Å³ per atom
Formation enthalpy at 0 K: -0.243 eV/atom
Raw total energy: -25.85 eV/f.u.



Question: What is the formula in the first record?
Answer: Ac2Ga6CoCu



Question: The lowest volume belongs to which entry?
Answer: AcGa3CoCu



Question: What is the raw total energy in the second record?
Answer: -25.85 eV/f.u.



Question: Which of these has the highest raw total energy?
Answer: AcGa3CoCu